LiScMo | PBE-GGA | optimized geometry

a = 4.9224 Å, b = 3.3139 Å, c = 6.9389 Å
α = 90.00°, β = 102.54°, γ = 90.00°
Space group Pm (No. 6)
Inequivalent atoms, fractional coordinates:
Li 0.0000 0.0000 0.0000 [1 per cell]
Li 0.2436 0.0000 0.6999 [1 per cell]
Sc 0.1083 0.5000 0.3340 [1 per cell]
Sc 0.7102 0.5000 0.6538 [1 per cell]
Mo 0.5220 0.5000 0.0369 [1 per cell]
Mo 0.5984 0.0000 0.3022 [1 per cell]

## Properties
Theoretical density   4.444 Mg/m³
Formation energy   0.24 eV/atom
Offset from the most stable computed form   0.228 eV/atom
Fermi-level density of states   5.80 states/eV per cell
Crystal system   monoclinic

---

LiSc2Mo | PBE-GGA | optimized geometry

a = 3.2562 Å, b = 3.3455 Å, c = 7.6257 Å
α = 90.00°, β = 90.23°, γ = 90.00°
Space group P2/m (No. 10)
Inequivalent atoms, fractional coordinates:
Li 0.0000 0.0000 0.0000 [1 per cell]
Sc 0.4991 0.5000 0.2902 [2 per cell]
Mo 0.0000 0.0000 0.5000 [1 per cell]

## Properties
Theoretical density   3.854 Mg/m³
Formation energy   0.12 eV/atom
Offset from the most stable computed form   0.000 eV/atom
Fermi-level density of states   4.16 states/eV per cell
Crystal system   monoclinic

---

LiScMo | PBE-GGA | optimized geometry

a = 10.5073 Å, b = 3.3453 Å, c = 6.6468 Å
α = 90.00°, β = 104.41°, γ = 90.00°
Space group Cm (No. 8)
Inequivalent atoms, fractional coordinates:
Li 0.0000 0.0000 0.0000 [2 per cell]
Li 0.1413 0.5000 0.8433 [2 per cell]
Sc 0.3151 0.0000 0.6435 [2 per cell]
Sc 0.4966 0.5000 0.4370 [2 per cell]
Mo 0.1858 0.5000 0.2994 [2 per cell]
Mo 0.3101 0.0000 0.1604 [2 per cell]

## Properties
Theoretical density   4.339 Mg/m³
Formation energy   0.21 eV/atom
Offset from the most stable computed form   0.200 eV/atom
Fermi-level density of states   9.82 states/eV per cell
Crystal system   monoclinic

---

LiSc2Mo | PBE-GGA | optimized geometry

a = 4.9916 Å, b = 4.9916 Å, c = 3.0670 Å
α = 90.00°, β = 90.00°, γ = 90.00°
Space group P4/mmm (No. 123)
Inequivalent atoms, fractional coordinates:
Li 0.0000 0.0000 0.0000 [1 per cell]
Sc 0.0000 0.5000 0.5000 [2 per cell]
Mo 0.5000 0.5000 0.0000 [1 per cell]

## Properties
Theoretical density   4.189 Mg/m³
Formation energy   0.20 eV/atom
Offset from the most stable computed form   0.085 eV/atom
Fermi-level density of states   3.31 states/eV per cell
Crystal system   tetragonal

---

LiSc2Mo | PBE-GGA | optimized geometry

a = 4.0961 Å, b = 4.0961 Å, c = 8.9408 Å
α = 90.00°, β = 90.00°, γ = 90.00°
Space group I-4m2 (No. 119)
Inequivalent atoms, fractional coordinates:
Li 0.0000 0.0000 0.0000 [2 per cell]
Sc 0.0000 0.0000 0.5000 [2 per cell]
Sc 0.0000 0.5000 0.2500 [2 per cell]
Mo 0.0000 0.5000 0.7500 [2 per cell]

## Properties
Theoretical density   4.268 Mg/m³
Formation energy   0.29 eV/atom
Offset from the most stable computed form   0.170 eV/atom
Fermi-level density of states   8.49 states/eV per cell
Crystal system   tetragonal

---

LiSc2Mo | PBE-GGA | optimized geometry

a = 3.4868 Å, b = 4.8391 Å, c = 9.7814 Å
α = 90.00°, β = 90.00°, γ = 90.00°
Space group Cmmm (No. 65)
Inequivalent atoms, fractional coordinates:
Li 0.0000 0.0000 0.0000 [2 per cell]
Sc 0.0000 0.5000 0.2815 [4 per cell]
Mo 0.0000 0.0000 0.5000 [2 per cell]

## Properties
Theoretical density   3.880 Mg/m³
Formation energy   0.15 eV/atom
Offset from the most stable computed form   0.028 eV/atom
Fermi-level density of states   9.30 states/eV per cell
Crystal system   orthorhombic

---

LiScMo | PBE-GGA | optimized geometry

a = 10.8024 Å, b = 3.3337 Å, c = 6.6596 Å
α = 90.00°, β = 113.50°, γ = 90.00°
Space group C2/m (No. 12)
Inequivalent atoms, fractional coordinates:
Li 0.1848 0.0000 0.3445 [4 per cell]
Sc 0.0000 0.5000 0.0000 [2 per cell]
Sc 0.0000 0.5000 0.5000 [2 per cell]
Mo 0.1855 0.0000 0.8662 [4 per cell]

## Properties
Theoretical density   4.465 Mg/m³
Formation energy   0.19 eV/atom
Offset from the most stable computed form   0.183 eV/atom
Fermi-level density of states   10.21 states/eV per cell
Crystal system   monoclinic

---

LiSc2Mo | PBE-GGA | optimized geometry

a = 6.6905 Å, b = 6.6905 Å, c = 6.6905 Å
α = 90.00°, β = 90.00°, γ = 90.00°
Space group Fm-3m (No. 225)
Inequivalent atoms, fractional coordinates:
Li 0.0000 0.0000 0.0000 [4 per cell]
Sc 0.2500 0.2500 0.2500 [8 per cell]
Mo 0.0000 0.0000 0.5000 [4 per cell]

## Properties
Theoretical density   4.276 Mg/m³
Formation energy   0.20 eV/atom
Offset from the most stable computed form   0.085 eV/atom
Fermi-level density of states   24.12 states/eV per cell
Crystal system   cubic

---

LiSc2MoSe | PBE-GGA | optimized geometry

a = 4.8262 Å, b = 4.8262 Å, c = 3.9939 Å
α = 90.00°, β = 90.00°, γ = 90.00°
Space group P4/mmm (No. 123)
Inequivalent atoms, fractional coordinates:
Li 0.0000 0.0000 0.0000 [1 per cell]
Sc 0.0000 0.5000 0.0000 [2 per cell]
Mo 0.5000 0.5000 0.5000 [1 per cell]
Se 0.0000 0.0000 0.5000 [1 per cell]

## Properties
Theoretical density   4.851 Mg/m³
ΔE_f (raw)   0.518 eV/atom
Fermi-level density of states   4.88 states/eV per cell
Crystal system   tetragonal

---

SrLi2ScMo | PBE-GGA | optimized geometry

a = 5.0981 Å, b = 5.0981 Å, c = 5.2929 Å
α = 90.00°, β = 90.00°, γ = 90.00°
Space group P4/mmm (No. 123)
Inequivalent atoms, fractional coordinates:
Sr 0.0000 0.0000 0.0000 [1 per cell]
Li 0.0000 0.5000 0.5000 [2 per cell]
Sc 0.5000 0.5000 0.0000 [1 per cell]
Mo 0.0000 0.0000 0.5000 [1 per cell]

## Properties
Theoretical density   2.926 Mg/m³
Formation energy   1.23 eV/atom
Fermi-level density of states   5.42 states/eV per cell
Crystal system   tetragonal

---

SrLiScMo2 | PBE-GGA | optimized geometry

a = 4.7494 Å, b = 4.7494 Å, c = 5.9361 Å
α = 90.00°, β = 90.00°, γ = 90.00°
Space group P4/mmm (No. 123)
Inequivalent atoms, fractional coordinates:
Sr 0.0000 0.0000 0.0000 [1 per cell]
Li 0.5000 0.5000 0.0000 [1 per cell]
Sc 0.0000 0.0000 0.5000 [1 per cell]
Mo 0.0000 0.5000 0.5000 [2 per cell]

## Properties
Theoretical density   4.110 Mg/m³
Formation energy   1.55 eV/atom
Fermi-level density of states   5.73 states/eV per cell
Crystal system   tetragonal

---

LiScV2Mo | PBE-GGA | optimized geometry

a = 4.2048 Å, b = 4.2048 Å, c = 4.5204 Å
α = 90.00°, β = 90.00°, γ = 90.00°
Space group P4/mmm (No. 123)
Inequivalent atoms, fractional coordinates:
Li 0.0000 0.0000 0.0000 [1 per cell]
Sc 0.5000 0.5000 0.5000 [1 per cell]
V 0.0000 0.5000 0.0000 [2 per cell]
Mo 0.0000 0.0000 0.5000 [1 per cell]

## Properties
Theoretical density   5.188 Mg/m³
Formation energy   1.10 eV/atom
Fermi-level density of states   7.82 states/eV per cell
Crystal system   tetragonal

---

LiScMo2W | PBE-GGA | optimized geometry

a = 4.3386 Å, b = 4.3386 Å, c = 4.3797 Å
α = 90.00°, β = 90.00°, γ = 90.00°
Space group P4/mmm (No. 123)
Inequivalent atoms, fractional coordinates:
Li 0.0000 0.0000 0.0000 [1 per cell]
Sc 0.5000 0.5000 0.5000 [1 per cell]
Mo 0.0000 0.5000 0.0000 [2 per cell]
W 0.0000 0.0000 0.5000 [1 per cell]

## Properties
Theoretical density   8.613 Mg/m³
Formation energy   1.20 eV/atom
Fermi-level density of states   6.85 states/eV per cell
Crystal system   tetragonal

---

LiScZn2Mo | PBE-GGA | optimized geometry

a = 5.1850 Å, b = 5.1850 Å, c = 4.6129 Å
α = 90.00°, β = 90.00°, γ = 90.00°
Space group P4/mmm (No. 123)
Inequivalent atoms, fractional coordinates:
Li 0.0000 0.0000 0.0000 [1 per cell]
Sc 0.5000 0.5000 0.5000 [1 per cell]
Zn 0.0000 0.5000 0.5000 [2 per cell]
Mo 0.5000 0.5000 0.0000 [1 per cell]

## Properties
Theoretical density   3.731 Mg/m³
Formation energy   1.07 eV/atom
Fermi-level density of states   3.53 states/eV per cell
Crystal system   tetragonal

---

LiZrScMo | PBE-GGA | optimized geometry

a = 6.6701 Å, b = 6.6701 Å, c = 6.6701 Å
α = 90.00°, β = 90.00°, γ = 90.00°
Space group F-43m (No. 216)
Inequivalent atoms, fractional coordinates:
Li 0.0000 0.0000 0.0000 [4 per cell]
Zr 0.2500 0.2500 0.2500 [4 per cell]
Sc 0.2500 0.2500 0.7500 [4 per cell]
Mo 0.0000 0.0000 0.5000 [4 per cell]

## Properties
Theoretical density   5.351 Mg/m³
Formation energy   0.11 eV/atom
Fermi-level density of states   14.73 states/eV per cell
Crystal system   cubic

---

Li2MoSe2 | PBE-GGA | optimized geometry

a = 4.6403 Å, b = 4.6403 Å, c = 7.1649 Å
α = 90.00°, β = 90.00°, γ = 90.00°
Space group I4/mmm (No. 139)
Inequivalent atoms, fractional coordinates:
Li 0.0000 0.0000 0.1475 [4 per cell]
Mo 0.0000 0.0000 0.5000 [2 per cell]
Se 0.0000 0.5000 0.2500 [4 per cell]

## Properties
Theoretical density   5.764 Mg/m³
Offset from the most stable computed form   0.107 eV/atom
ΔE_f (raw)   -0.071 eV/atom
Fermi-level density of states   0.00 states/eV per cell
Crystal system   tetragonal

---

LiMoSe2 | PBE-GGA | optimized geometry

a = 3.3736 Å, b = 3.3736 Å, c = 24.8518 Å
α = 90.00°, β = 90.00°, γ = 120.00°
Space group R-3m (No. 166, hexagonal axes)
Inequivalent atoms, fractional coordinates:
Li 0.0000 0.0000 0.0000 [3 per cell]
Mo 0.0000 0.0000 0.5000 [3 per cell]
Se 0.0000 0.0000 0.0984 [6 per cell]

## Properties
Theoretical density   5.304 Mg/m³
ΔE_f (raw)   -0.431 eV/atom
Fermi-level density of states   6.74 states/eV per cell
Crystal system   trigonal

---

LiMoSe | PBE-GGA | optimized geometry

a = 4.2514 Å, b = 4.2514 Å, c = 3.1475 Å
α = 90.00°, β = 90.00°, γ = 120.00°
Space group P-6m2 (No. 187)
Inequivalent atoms, fractional coordinates:
Li 0.0000 0.0000 0.0000 [1 per cell]
Mo 0.6667 0.3333 0.5000 [1 per cell]
Se 0.3333 0.6667 0.5000 [1 per cell]

## Properties
Theoretical density   6.129 Mg/m³
Offset from the most stable computed form   0.142 eV/atom
ΔE_f (raw)   0.070 eV/atom
Fermi-level density of states   1.86 states/eV per cell
Crystal system   hexagonal

---

LiMoSe2 | PBE-GGA | optimized geometry

a = 3.1643 Å, b = 3.1643 Å, c = 6.7914 Å
α = 90.00°, β = 90.00°, γ = 90.00°
Space group P4/mmm (No. 123)
Inequivalent atoms, fractional coordinates:
Li 0.0000 0.0000 0.0000 [1 per cell]
Mo 0.0000 0.0000 0.5000 [1 per cell]
Se 0.5000 0.5000 0.2742 [2 per cell]

## Properties
Theoretical density   6.369 Mg/m³
ΔE_f (raw)   -0.482 eV/atom
Fermi-level density of states   1.42 states/eV per cell
Crystal system   tetragonal

---

LiMoSe2 | PBE-GGA | optimized geometry

a = 13.0731 Å, b = 3.3004 Å, c = 3.4572 Å
α = 90.00°, β = 90.19°, γ = 90.00°
Space group Cm (No. 8)
Inequivalent atoms, fractional coordinates:
Li 0.0000 0.0000 0.0000 [2 per cell]
Mo 0.2925 0.5000 0.4976 [2 per cell]
Se 0.2052 0.0000 0.9965 [2 per cell]
Se 0.4392 0.0000 0.4993 [2 per cell]

## Properties
Theoretical density   5.807 Mg/m³
ΔE_f (raw)   -0.514 eV/atom
Fermi-level density of states   5.08 states/eV per cell
Crystal system   monoclinic

---

LiMoSe2 | PBE-GGA | optimized geometry

a = 3.3852 Å, b = 5.8298 Å, c = 7.6810 Å
α = 90.00°, β = 90.00°, γ = 90.00°
Space group Cmmm (No. 65)
Inequivalent atoms, fractional coordinates:
Li 0.0000 0.0000 0.0000 [2 per cell]
Mo 0.0000 0.0000 0.5000 [2 per cell]
Se 0.0000 0.5000 0.2538 [4 per cell]

## Properties
Theoretical density   5.714 Mg/m³
ΔE_f (raw)   -0.098 eV/atom
Fermi-level density of states   8.48 states/eV per cell
Crystal system   orthorhombic

---

LiMoSe2 | PBE-GGA | optimized geometry

a = 3.3856 Å, b = 3.3856 Å, c = 7.0666 Å
α = 90.00°, β = 90.00°, γ = 90.00°
Space group P4mm (No. 99)
Inequivalent atoms, fractional coordinates:
Li 0.0000 0.0000 0.0000 [1 per cell]
Mo 0.5000 0.5000 0.2503 [1 per cell]
Se 0.0000 0.0000 0.4010 [1 per cell]
Se 0.5000 0.5000 0.9049 [1 per cell]

## Properties
Theoretical density   5.347 Mg/m³
ΔE_f (raw)   -0.377 eV/atom
Fermi-level density of states   2.25 states/eV per cell
Crystal system   tetragonal

---

LiMoSe | PBE-GGA | optimized geometry

a = 3.1876 Å, b = 3.1876 Å, c = 8.8646 Å
α = 90.00°, β = 90.00°, γ = 90.00°
Space group I4mm (No. 107)
Inequivalent atoms, fractional coordinates:
Li 0.0000 0.0000 0.0000 [2 per cell]
Mo 0.0000 0.0000 0.6900 [2 per cell]
Se 0.0000 0.0000 0.3369 [2 per cell]

## Properties
Theoretical density   6.705 Mg/m³
Offset from the most stable computed form   0.000 eV/atom
ΔE_f (raw)   -0.072 eV/atom
Fermi-level density of states   6.38 states/eV per cell
Crystal system   tetragonal

---

LiMoSe | PBE-GGA | optimized geometry

a = 3.1297 Å, b = 3.1297 Å, c = 6.3590 Å
α = 90.00°, β = 90.00°, γ = 120.00°
Space group P3m1 (No. 156)
Inequivalent atoms, fractional coordinates:
Li 0.0000 0.0000 0.0000 [1 per cell]
Mo 0.6667 0.3333 0.3749 [1 per cell]
Se 0.3333 0.6667 0.6450 [1 per cell]

## Properties
Theoretical density   5.598 Mg/m³
Offset from the most stable computed form   0.028 eV/atom
ΔE_f (raw)   -0.043 eV/atom
Fermi-level density of states   2.49 states/eV per cell
Crystal system   trigonal

---

Li4MoSe | PBE-GGA | optimized geometry

a = 7.3320 Å, b = 7.3320 Å, c = 7.3320 Å
α = 90.00°, β = 90.00°, γ = 90.00°
Space group F-43m (No. 216)
Inequivalent atoms, fractional coordinates:
Li 0.1239 0.1239 0.1239 [16 per cell]
Mo 0.2500 0.2500 0.7500 [4 per cell]
Se 0.0000 0.0000 0.5000 [4 per cell]

## Properties
Theoretical density   3.415 Mg/m³
ΔE_f (raw)   0.333 eV/atom
Fermi-level density of states   10.78 states/eV per cell
Crystal system   cubic

---

LiMoSe2 | PBE-GGA | optimized geometry

a = 3.3553 Å, b = 4.0828 Å, c = 5.1284 Å
α = 90.00°, β = 90.00°, γ = 90.00°
Space group Pmm2 (No. 25)
Inequivalent atoms, fractional coordinates:
Li 0.0000 0.0000 0.0000 [1 per cell]
Mo 0.5000 0.5000 0.4942 [1 per cell]
Se 0.0000 0.0000 0.4991 [1 per cell]
Se 0.5000 0.5000 0.9957 [1 per cell]

## Properties
Theoretical density   6.164 Mg/m³
ΔE_f (raw)   -0.356 eV/atom
Fermi-level density of states   2.38 states/eV per cell
Crystal system   orthorhombic

---

LiMoSe2 | PBE-GGA | optimized geometry

a = 3.1465 Å, b = 4.4105 Å, c = 4.7301 Å
α = 90.00°, β = 90.00°, γ = 90.00°
Space group Pmmm (No. 47)
Inequivalent atoms, fractional coordinates:
Li 0.0000 0.0000 0.0000 [1 per cell]
Mo 0.0000 0.5000 0.5000 [1 per cell]
Se 0.5000 0.0000 0.5000 [1 per cell]
Se 0.5000 0.5000 0.0000 [1 per cell]

## Properties
Theoretical density   6.597 Mg/m³
ΔE_f (raw)   -0.170 eV/atom
Fermi-level density of states   3.06 states/eV per cell
Crystal system   orthorhombic

---

LiMoSe2 | PBE-GGA | optimized geometry

a = 3.3498 Å, b = 4.6701 Å, c = 9.9921 Å
α = 90.00°, β = 90.00°, γ = 90.00°
Space group Cmm2 (No. 35)
Inequivalent atoms, fractional coordinates:
Li 0.0000 0.0000 0.0000 [2 per cell]
Mo 0.0000 0.5000 0.2443 [2 per cell]
Se 0.0000 0.0000 0.4324 [2 per cell]
Se 0.0000 0.5000 0.8045 [2 per cell]

## Properties
Theoretical density   5.541 Mg/m³
ΔE_f (raw)   0.032 eV/atom
Fermi-level density of states   3.20 states/eV per cell
Crystal system   orthorhombic

---

LiMoSe2 | PBE-GGA | optimized geometry

a = 3.4527 Å, b = 4.9131 Å, c = 4.6831 Å
α = 90.00°, β = 105.44°, γ = 90.00°
Space group Pm (No. 6)
Inequivalent atoms, fractional coordinates:
Li 0.0000 0.0000 0.0000 [1 per cell]
Mo 0.3257 0.5000 0.4928 [1 per cell]
Se 0.3394 0.0000 0.5643 [1 per cell]
Se 0.6797 0.5000 0.0940 [1 per cell]

## Properties
Theoretical density   5.655 Mg/m³
ΔE_f (raw)   -0.377 eV/atom
Fermi-level density of states   2.03 states/eV per cell
Crystal system   monoclinic